CuNiF4 | Alexandria via LeMat-Bulk | GGA+U | optimized geometry; size of the total moment = 3.00 μB per formula unit; space-group type = Pnc2 (30); final energy = -50.1 eV for the cell shown
1.0
5.157 0.000 0.000
0.000 4.626 0.000
0.000 0.000 5.734
Cu Ni F
2 2 8
Direct
0.000 0.000 0.000 Cu
0.000 0.500 0.500 Cu
0.500 0.000 0.701 Ni
0.500 0.500 0.201 Ni
0.166 0.233 0.734 F
0.166 0.267 0.234 F
0.334 0.736 0.462 F
0.334 0.764 0.962 F
0.666 0.236 0.962 F
0.666 0.264 0.462 F
0.834 0.733 0.234 F
0.834 0.767 0.734 F